1.
8
Lattice="4.5461 0.0000 0.0000 0.0000 4.5461 0.0000 0.0000 0.0000 8.5795" Properties=species:S:1:pos:R:3 comment="GGA-PBE BaPtSeO, relaxed" sg="P4/nmm, No. 129" total_energy_ev_per_atom=-5.239 pbc="T T T"
Ba 3.4096 3.4096 1.4132
Ba 1.1365 1.1365 7.1664
O 1.1365 1.1365 1.0305
O 3.4096 3.4096 7.5490
Pt 1.1365 1.1365 3.2192
Pt 3.4096 3.4096 5.3604
Se 3.4096 1.1365 4.2898
Se 1.1365 3.4096 4.2898

***

2.
102
Lattice="-11.3538 11.3538 2.8362 11.3538 -11.3538 2.8362 11.3538 11.3538 -2.8362" Properties=species:S:1:pos:R:3 comment="GGA-PBE Ba17Tm16Zn8Pt4O57, relaxed" sg="I4/m, No. 87" total_energy_ev_per_atom=-6.752 pbc="T T T"
Ba 0.0000 0.0000 0.0000
Ba 3.5603 -3.4128 2.8362
Ba 7.0588 -5.2585 2.8362
Ba -5.1176 8.8144 2.8362
Ba 3.4128 3.5603 2.8362
Ba -1.3052 9.8253 2.8362
Ba 2.5393 6.2361 0.0000
Ba 6.0953 4.2950 0.0000
Ba 9.8253 1.3052 2.8362
Ba 1.5285 10.0486 0.0000
Ba 5.2585 7.0588 2.8362
Ba 8.8144 5.1176 2.8362
Ba 12.6589 1.5285 0.0000
Ba 7.9410 7.7934 0.0000
Ba 16.4714 2.5393 0.0000
Ba 4.2950 16.6122 0.0000
Ba 7.7934 14.7665 0.0000
O 0.0000 0.0000 2.8362
O -7.7563 7.7634 2.8362
O -1.4623 2.0379 1.4277
O -1.4623 2.0379 4.2448
O -4.5819 5.9339 2.8362
O 3.9890 -0.6276 1.4199
O 3.9890 -0.6275 4.2526
O 2.0379 1.4623 1.4277
O 2.0379 1.4623 4.2448
O 6.0787 -2.4429 2.8362
O -1.6174 5.5964 1.4040
O -1.6174 5.5964 4.2685
O 0.6275 3.9890 1.4199
O 0.6276 3.9890 4.2525
O -2.7824 8.0739 1.3888
O 8.5714 -3.2799 1.4474
O -3.8201 10.8747 1.3756
O 7.5337 -0.4791 1.4606
O 3.5903 3.5975 0.0000
O 5.5964 1.6174 1.4040
O 5.5964 1.6174 4.2685
O 0.4791 7.5337 1.4606
O 11.8328 -3.8201 1.3756
O 2.4429 6.0787 2.8362
O 10.1360 -1.4754 2.8362
O 5.9340 4.5819 2.8362
O -3.2799 14.1362 1.4474
O 8.0739 2.7824 1.3888
O 9.8784 1.2178 0.0000
O 1.4754 10.1360 2.8362
O 3.2799 8.5714 1.4474
O 14.6337 -2.7824 1.3888
O 5.4198 6.7718 0.0000
O 1.2178 12.8291 0.0000
O 8.9109 5.2751 0.0000
O -0.4791 15.1738 1.4606
O 10.8747 3.8201 1.3756
O 5.7573 9.7364 -1.4323
O 5.7573 9.7364 1.4323
O 7.7635 7.7563 2.8362
O 3.8201 11.8328 1.3756
O 15.1738 0.4791 1.4606
O 2.7824 14.6337 1.3888
O 14.1362 3.2799 1.4474
O 10.7262 7.3648 -1.4163
O 10.7262 7.3648 1.4163
O 12.9711 5.7573 -1.4323
O 12.9711 5.7573 1.4323
O 5.2751 13.7967 0.0000
O 9.3158 9.8914 -1.4085
O 9.3158 9.8914 1.4085
O 7.3648 11.9813 -1.4163
O 7.3648 11.9813 1.4163
O 15.9357 5.4198 0.0000
O 12.8161 9.3158 -1.4085
O 12.8161 9.3158 1.4085
O 19.1101 3.5903 0.0000
Pt 8.0784 -1.8725 2.8362
Pt 1.8725 8.0784 2.8362
Pt 9.4812 3.2754 0.0000
Pt 3.2754 13.2263 0.0000
Tm 2.2562 -0.2746 2.8362
Tm 0.2746 2.2562 2.8362
Tm 10.1734 -7.4557 2.8362
Tm 3.8980 1.1804 0.0000
Tm 5.6483 -0.1418 2.8362
Tm 0.1418 5.6483 2.8362
Tm 10.2260 -3.9716 2.8362
Tm 7.3822 1.1277 0.0000
Tm 3.9716 10.2260 2.8362
Tm 1.1277 15.3254 0.0000
Tm 11.2120 5.7055 0.0000
Tm 5.7055 11.4956 0.0000
Tm 7.4557 10.1734 2.8362
Tm 1.1804 18.8095 0.0000
Tm 11.0792 9.0976 0.0000
Tm 9.0975 11.6284 0.0000
Zn -8.3445 9.6446 2.8362
Zn -2.7308 6.5469 2.8362
Zn 1.7092 3.0093 0.0000
Zn 6.5469 2.7308 2.8362
Zn 4.8069 8.6230 0.0000
Zn 9.6446 8.3445 2.8362
Zn 14.0846 4.8069 0.0000
Zn 19.6983 1.7092 0.0000

***

3.
102
Lattice="-1.8543 -11.7812 -11.3287 -2.4590 8.8242 13.6624 -8.4942 10.7669 -9.0829" Properties=species:S:1:pos:R:3 comment="GGA-PBE Ba17Y16Zn8Pt4O57, relaxed" sg="I4/m, No. 87" total_energy_ev_per_atom=-7.018 pbc="T T T"
Ba 0.0000 0.0000 0.0000
Ba -2.3339 1.7733 4.9596
Ba -3.1615 4.8428 7.3193
Ba -3.7080 -6.2723 -7.7744
Ba -5.4403 1.3059 -1.3739
Ba -6.0018 -3.0545 -7.9365
Ba -4.0803 1.9216 -5.1065
Ba -4.8978 5.0639 -2.6359
Ba -7.4996 6.9450 1.9654
Ba -5.3079 0.8648 -8.7145
Ba -7.9097 2.7459 -4.1131
Ba -8.7272 5.8882 -1.6426
Ba -6.8057 10.8643 1.1874
Ba -7.3672 6.5039 -5.3752
Ba -9.0994 14.0820 1.0253
Ba -9.6460 2.9670 -14.0684
Ba -10.4736 6.0365 -11.7087
O -2.1567 -1.4785 1.1669
O -1.9746 -8.4811 -7.3695
O -1.2898 -2.1111 -1.5487
O -3.4484 -3.5909 -0.3808
O -2.6429 -5.6945 -5.0738
O -2.7075 2.7565 1.9731
O -4.8817 1.2659 3.1495
O -2.7374 0.9535 -0.3411
O -4.8960 -0.5264 0.8268
O -3.9690 3.8961 4.6274
O -2.8430 -2.4062 -4.7961
O -5.0033 -3.8872 -3.6272
O -3.2117 -0.3505 -2.8955
O -5.3859 -1.8411 -1.7191
O -3.3981 -3.5131 -7.2552
O -3.7228 6.7742 5.2525
O -4.1657 -4.4662 -9.9423
O -4.5278 5.7955 2.5856
O -3.3892 2.9330 -2.5477
O -4.5336 4.0330 0.2382
O -6.6939 2.5519 1.4071
O -4.8052 -0.6574 -6.1035
O -5.0477 9.6862 6.3597
O -6.1338 0.3893 -3.8171
O -6.3740 7.3170 4.5169
O -7.0972 3.4200 -1.7575
O -5.9652 -4.2003 -12.7974
O -6.2451 6.1177 -0.3140
O -5.3366 8.4838 0.8864
O -7.4709 -0.6740 -7.6355
O -6.5624 1.6920 -6.4351
O -6.8423 12.0101 6.0483
O -5.7103 4.3898 -4.9916
O -6.4335 0.4928 -11.2660
O -6.6737 7.4205 -2.9320
O -7.7598 -1.8765 -13.1088
O -8.0023 8.4672 -0.6456
O -6.1136 5.2579 -8.1562
O -8.2739 3.7768 -6.9873
O -9.4183 4.8768 -4.2014
O -8.2797 2.0142 -9.3348
O -8.6418 12.2760 3.1932
O -9.0847 1.0355 -12.0016
O -9.4094 11.3229 0.5061
O -7.4216 9.6509 -5.0300
O -9.5958 8.1603 -3.8536
O -7.8042 11.6970 -3.1219
O -9.9645 10.2159 -1.9530
O -8.8384 3.9136 -11.3765
O -7.9115 8.3361 -7.5759
O -10.0701 6.8563 -6.4080
O -7.9257 6.5439 -9.8986
O -10.0999 5.0533 -8.7222
O -10.1646 13.5043 -1.6753
O -9.3591 11.4007 -6.3683
O -11.5177 9.9209 -5.2004
O -10.8328 16.2909 0.6204
Pt -5.1941 5.5780 4.4943
Pt -6.7505 -0.2102 -5.7164
Pt -6.0570 8.0200 -1.0327
Pt -7.6134 2.2318 -11.2434
Y -3.1261 0.4941 1.8747
Y -3.3260 -1.3405 -0.8194
Y -3.6639 7.6199 9.9096
Y -2.4286 3.3177 -0.2848
Y -4.8252 3.4239 2.4466
Y -4.8153 -1.6022 -3.9035
Y -5.2919 7.5221 6.7768
Y -4.0861 6.3407 0.4821
Y -8.7213 1.4691 -7.2312
Y -7.5156 0.2877 -13.5259
Y -7.9922 9.4119 -2.8456
Y -7.9823 4.3859 -9.1957
Y -10.3789 4.4921 -6.4643
Y -9.1435 0.1898 -16.6587
Y -9.4815 9.1503 -5.9297
Y -9.6814 7.3157 -8.6238
Zn -2.5322 -9.0857 -9.1661
Zn -3.8110 -4.1452 -5.2696
Zn -2.2152 1.3526 -2.3803
Zn -6.5670 4.0436 0.0126
Zn -6.2405 3.7662 -6.7617
Zn -10.5923 6.4572 -4.3688
Zn -8.9965 11.9550 -1.4795
Zn -10.2752 16.8955 2.4170

***

4.
13
Lattice="2.9758 1.7181 7.2143 -2.9758 1.7181 7.2143 0.0000 -3.4362 7.2143" Properties=species:S:1:pos:R:3 comment="GGA-PBE Ba3Re2O8, relaxed" sg="R-3m, No. 166" total_energy_ev_per_atom=-7.438 pbc="T T T"
Ba 0.0000 0.0000 0.0000
Ba 0.0000 0.0000 4.3514
Ba 0.0000 0.0000 17.2915
O 0.0000 1.7399 12.2173
O 1.5068 0.8700 9.4256
O -1.5068 0.8700 9.4256
O 0.0000 0.0000 6.9018
O 0.0000 0.0000 14.7410
O 1.5068 -0.8700 12.2173
O -1.5068 -0.8700 12.2173
O 0.0000 -1.7399 9.4256
Re 0.0000 0.0000 8.7465
Re 0.0000 0.0000 12.8964

***

5.
32
Lattice="-3.9341 -6.0077 1.3875 2.0931 -0.1406 5.3262 -8.7363 6.5538 3.6061" Properties=species:S:1:pos:R:3 comment="GGA-PBE Ba2ReO5, relaxed" sg="Pnma, No. 62" total_energy_ev_per_atom=-7.418 pbc="T T T"
Ba -1.7581 -3.5712 5.2110
Ba -1.4537 1.2306 2.1419
Ba -4.0259 -1.3193 3.0854
Ba -2.7398 1.6447 5.7344
Ba -7.8375 -1.2392 4.5854
Ba -6.5515 1.7248 7.2344
Ba -9.1236 -0.8251 8.1779
Ba -8.8192 3.9767 5.1088
O 0.0000 0.0000 0.0000
O 1.0465 -0.0703 2.6631
O -3.0823 -3.7630 2.6501
O -1.2451 -1.2584 3.5994
O -0.2443 -1.3257 6.1463
O -0.2044 1.0629 4.7227
O -3.1340 -1.2189 5.8137
O -5.5184 -2.5322 5.2451
O -4.5175 -2.5994 7.7920
O -3.9217 1.3462 3.1148
O -6.3352 0.2730 2.4968
O -5.2887 0.2027 5.1599
O -6.6556 -0.9407 7.2050
O -6.0598 3.0049 2.5278
O -5.0590 2.9377 5.0747
O -7.4433 1.6244 4.5060
O -10.3729 -0.6574 5.5971
O -10.3331 1.7311 4.1735
O -9.3322 1.6639 6.7204
O -7.4950 4.1685 7.6697
Re 0.3381 -0.7090 4.4628
Re -4.8753 -1.2776 6.4965
Re -5.7020 1.6831 3.8233
Re -10.9154 1.1145 5.8570

***

6.
48
Lattice="9.3179 -5.4321 0.0000 9.3179 5.4321 0.0000 0.0000 0.0000 7.8173" Properties=species:S:1:pos:R:3 comment="GGA-PBE Ba5Re3O16, relaxed" sg="Cmc2_1, No. 36" total_energy_ev_per_atom=-7.443 pbc="T T T"
Ba 6.9704 4.0366 2.0267
Ba 11.6654 4.0366 2.0267
Ba 9.3179 -2.6470 2.0341
Ba 6.2025 0.0071 3.8989
Ba 12.4332 0.0071 3.8989
Ba 6.9704 -4.0366 5.9354
Ba 11.6654 -4.0366 5.9354
Ba 9.3179 2.6470 5.9427
Ba 6.2025 -0.0071 7.8076
Ba 12.4332 -0.0071 7.8076
O 6.9594 -2.6014 0.4754
O 11.6764 -2.6014 0.4754
O 8.0618 1.9534 0.4943
O 10.5740 1.9534 0.4943
O 3.5845 0.6339 0.4980
O 15.0513 0.6339 0.4980
O 5.4056 1.7017 1.9137
O 13.2302 1.7017 1.9137
O 8.0701 -0.1420 1.9236
O 10.5657 -0.1420 1.9236
O 5.1586 -1.5757 1.9380
O 13.4772 -1.5757 1.9380
O 9.3179 -5.3886 2.3009
O 6.6360 -3.8607 3.0055
O 11.9998 -3.8607 3.0055
O 9.3179 2.2606 3.0163
O 6.9594 2.6014 4.3840
O 11.6764 2.6014 4.3840
O 8.0618 -1.9534 4.4029
O 10.5740 -1.9534 4.4029
O 3.5845 -0.6339 4.4067
O 15.0513 -0.6339 4.4067
O 5.4056 -1.7017 5.8223
O 13.2302 -1.7017 5.8223
O 8.0701 0.1420 5.8322
O 10.5657 0.1420 5.8322
O 5.1586 1.5757 5.8467
O 13.4772 1.5757 5.8467
O 9.3179 5.3886 6.2095
O 6.6360 3.8607 6.9142
O 11.9998 3.8607 6.9142
O 9.3179 -2.2606 6.9250
Re 3.6240 2.1109 1.6106
Re 15.0118 2.1109 1.6106
Re 9.3179 1.1904 1.6151
Re 3.6240 -2.1109 5.5193
Re 15.0118 -2.1109 5.5193
Re 9.3179 -1.1904 5.5237